No. 1
Here is Pr4NdSe5 after structural relaxation from the Alexandria database. Energies are from PBE.

Properties
E = -59.7 eV for the cell shown

Cell lengths 15.3913, 15.3913, 15.3913 Å; angles 164.11, 164.11, 22.54 degrees
Atoms (fractional coordinates):
Pr1 0.1012 0.1012 0.0000
Pr2 0.3025 0.3025 0.0000
Pr3 0.6975 0.6975 0.0000
Pr4 0.8988 0.8988 0.0000
Nd1 0.5000 0.5000 0.0000
Se1 0.0000 0.0000 0.0000
Se2 0.2015 0.2015 0.0000
Se3 0.4016 0.4016 0.0000
Se4 0.5984 0.5984 0.0000
Se5 0.7985 0.7985 0.0000



No. 2
Here is PrNd2Se after structural relaxation from the Alexandria database. Energies are from PBE.

Properties
E = -21.0 eV for the cell shown

Cell lengths 10.1181, 10.1181, 10.1181 Å; angles 22.32, 22.32, 22.32 degrees
Atoms (fractional coordinates):
Pr1 0.0000 0.0000 0.0000
Nd1 0.2319 0.2319 0.2319
Nd2 0.7681 0.7681 0.7681
Se1 0.5000 0.5000 0.5000



No. 3
Here is PrNd4Se4 after structural relaxation from the Alexandria database. Energies are from PBE.

Properties
E = -52.2 eV for the cell shown

Cell lengths 7.2749, 7.2749, 7.2749 Å; angles 99.63, 99.63, 131.72 degrees
Atoms (fractional coordinates):
Pr1 0.0000 0.0000 0.0000
Nd1 0.1990 0.6038 0.8028
Nd2 0.3962 0.1990 0.5952
Nd3 0.6038 0.8010 0.4048
Nd4 0.8010 0.3962 0.1972
Se1 0.0988 0.3030 0.4018
Se2 0.3030 0.9012 0.2042
Se3 0.6970 0.0988 0.7958
Se4 0.9012 0.6970 0.5982



No. 4
Here is PrNdSm2Se4 after structural relaxation from the Alexandria database. Energies are from PBE.

Properties
E = -47.5 eV for the cell shown

Cell lengths 7.3006, 4.1600, 7.3485 Å; angles 90.00, 108.87, 90.00 degrees
Atoms (fractional coordinates):
Pr1 0.0000 0.0000 0.0000
Nd1 0.5000 0.5000 0.0000
Sm1 0.0000 0.5000 0.5000
Sm2 0.5000 0.0000 0.5000
Se1 0.2491 0.0000 0.7437
Se2 0.2538 0.5000 0.2573
Se3 0.7462 0.5000 0.7427
Se4 0.7509 0.0000 0.2563



No. 5
Here is Pr4NdSmSe8 after structural relaxation from the Alexandria database. Energies are from PBE.

Properties
E = -80.7 eV for the cell shown

Cell lengths 8.7313, 8.7313, 8.7313 Å; angles 60.07, 60.07, 60.07 degrees
Atoms (fractional coordinates):
Pr1 0.0000 0.0000 0.0000
Pr2 0.1269 0.6239 0.6239
Pr3 0.6239 0.1269 0.6239
Pr4 0.6239 0.6239 0.1269
Nd1 0.6238 0.6238 0.6238
Sm1 0.2495 0.2495 0.2495
Se1 0.3801 0.3801 0.3801
Se2 0.3814 0.3814 0.8574
Se3 0.3814 0.8574 0.3814
Se4 0.3995 0.8652 0.8652
Se5 0.8574 0.3814 0.3814
Se6 0.8652 0.3995 0.8652
Se7 0.8652 0.8652 0.3995
Se8 0.8669 0.8669 0.8669



No. 6
Here is PrNd3Sm2Se6 after structural relaxation from the Alexandria database. Energies are from PBE.

Properties
E = -71.4 eV for the cell shown

Cell lengths 7.3102, 7.3102, 7.3109 Å; angles 99.56, 99.56, 120.26 degrees
Atoms (fractional coordinates):
Pr1 0.0000 0.0000 0.0000
Nd1 0.1637 0.8363 0.5000
Nd2 0.5000 0.5000 0.5000
Nd3 0.8363 0.1637 0.5000
Sm1 0.3337 0.6663 0.0000
Sm2 0.6663 0.3337 0.0000
Se1 0.0827 0.4212 0.2484
Se2 0.2564 0.2564 0.7542
Se3 0.4212 0.0827 0.2484
Se4 0.5788 0.9173 0.7516
Se5 0.7436 0.7436 0.2458
Se6 0.9173 0.5788 0.7516



No. 7
Here is PrNdSm4Se8 after structural relaxation from the Alexandria database. Energies are from PBE.

Properties
E = -80.5 eV for the cell shown

Cell lengths 8.6652, 8.6652, 8.6652 Å; angles 59.73, 59.73, 59.73 degrees
Atoms (fractional coordinates):
Pr1 0.0000 0.0000 0.0000
Nd1 0.6257 0.6257 0.6257
Sm1 0.0001 0.0001 0.4985
Sm2 0.0001 0.4985 0.0001
Sm3 0.3740 0.3740 0.3740
Sm4 0.4985 0.0001 0.0001
Se1 0.2257 0.7547 0.7547
Se2 0.2419 0.2419 0.2419
Se3 0.2460 0.2460 0.7697
Se4 0.2460 0.7697 0.2460
Se5 0.7547 0.2257 0.7547
Se6 0.7547 0.7547 0.2257
Se7 0.7592 0.7592 0.7592
Se8 0.7697 0.2460 0.2460



No. 8
Here is Pr2NdSmSe5 after structural relaxation from the Alexandria database. Energies are from PBE.

Properties
E = -47.5 eV for the cell shown

Cell lengths 5.2588, 5.2588, 11.0923 Å; angles 90.00, 90.00, 90.00 degrees
Atoms (fractional coordinates):
Pr1 0.0000 0.0000 0.1668
Pr2 0.0000 0.0000 0.8332
Nd1 0.5000 0.5000 0.5000
Sm1 0.5000 0.5000 0.0000
Se1 0.0000 0.0000 0.5000
Se2 0.0000 0.5000 0.0000
Se3 0.5000 0.0000 0.0000
Se4 0.5000 0.5000 0.2522
Se5 0.5000 0.5000 0.7478



No. 9
Here is PrNd2Sm3Se6 after structural relaxation from the Alexandria database. Energies are from PBE.

Properties
E = -71.4 eV for the cell shown

Cell lengths 7.2867, 7.2867, 7.3067 Å; angles 99.54, 99.54, 120.27 degrees
Atoms (fractional coordinates):
Pr1 0.0000 0.0000 0.0000
Nd1 0.3335 0.6665 0.0000
Nd2 0.6665 0.3335 0.0000
Sm1 0.1657 0.8343 0.5000
Sm2 0.5000 0.5000 0.5000
Sm3 0.8343 0.1657 0.5000
Se1 0.0855 0.4206 0.2563
Se2 0.2498 0.2498 0.7444
Se3 0.4206 0.0855 0.2563
Se4 0.5794 0.9145 0.7437
Se5 0.7502 0.7502 0.2556
Se6 0.9145 0.5794 0.7437



No. 10
Here is PrNd4Sm3Se8 after structural relaxation from the Alexandria database. Energies are from PBE.

Properties
E = -95.1 eV for the cell shown

Cell lengths 8.4353, 8.4353, 8.4353 Å; angles 59.93, 59.93, 59.93 degrees
Atoms (fractional coordinates):
Pr1 0.0000 0.0000 0.0000
Nd1 0.0000 0.0000 0.5000
Nd2 0.0000 0.5000 0.0000
Nd3 0.5000 0.0000 0.0000
Nd4 0.5000 0.5000 0.5000
Sm1 0.0000 0.5000 0.5000
Sm2 0.5000 0.0000 0.5000
Sm3 0.5000 0.5000 0.0000
Se1 0.2510 0.2510 0.7454
Se2 0.2510 0.7454 0.2510
Se3 0.2518 0.2518 0.2518
Se4 0.2546 0.7490 0.7490
Se5 0.7454 0.2510 0.2510
Se6 0.7482 0.7482 0.7482
Se7 0.7490 0.2546 0.7490
Se8 0.7490 0.7490 0.2546



No. 11
Here is Pr2NdSm3Se6 after structural relaxation from the Alexandria database. Energies are from PBE.

Properties
E = -71.4 eV for the cell shown

Cell lengths 7.2938, 7.2938, 7.3232 Å; angles 99.53, 99.53, 120.27 degrees
Atoms (fractional coordinates):
Pr1 0.1667 0.8333 0.0000
Pr2 0.8333 0.1667 0.0000
Nd1 0.5000 0.5000 0.0000
Sm1 0.0000 0.0000 0.5000
Sm2 0.3321 0.6679 0.5000
Sm3 0.6679 0.3321 0.5000
Se1 0.0829 0.4144 0.7433
Se2 0.2546 0.2546 0.2578
Se3 0.4144 0.0829 0.7433
Se4 0.5856 0.9171 0.2567
Se5 0.7454 0.7454 0.7422
Se6 0.9171 0.5856 0.2567



No. 12
Here is PrNd3Sm4Se8 after structural relaxation from the Alexandria database. Energies are from PBE.

Properties
E = -95.0 eV for the cell shown

Cell lengths 8.4285, 8.4285, 8.4285 Å; angles 59.80, 59.80, 59.80 degrees
Atoms (fractional coordinates):
Pr1 0.0000 0.0000 0.0000
Nd1 0.0000 0.5000 0.5000
Nd2 0.5000 0.0000 0.5000
Nd3 0.5000 0.5000 0.0000
Sm1 0.0000 0.0000 0.5000
Sm2 0.0000 0.5000 0.0000
Sm3 0.5000 0.0000 0.0000
Sm4 0.5000 0.5000 0.5000
Se1 0.2482 0.2482 0.2482
Se2 0.2492 0.7472 0.7472
Se3 0.2528 0.2528 0.7508
Se4 0.2528 0.7508 0.2528
Se5 0.7472 0.2492 0.7472
Se6 0.7472 0.7472 0.2492
Se7 0.7508 0.2528 0.2528
Se8 0.7518 0.7518 0.7518



No. 13
Here is Pr3Nd2SmSe6 after structural relaxation from the Alexandria database. Energies are from PBE.

Properties
E = -71.6 eV for the cell shown

Cell lengths 7.3442, 7.3442, 7.3520 Å; angles 99.56, 99.56, 120.25 degrees
Atoms (fractional coordinates):
Pr1 0.0000 0.0000 0.0000
Pr2 0.3313 0.6687 0.0000
Pr3 0.6687 0.3313 0.0000
Nd1 0.1667 0.8333 0.5000
Nd2 0.8333 0.1667 0.5000
Sm1 0.5000 0.5000 0.5000
Se1 0.0884 0.4185 0.2553
Se2 0.2521 0.2521 0.7465
Se3 0.4185 0.0884 0.2553
Se4 0.5815 0.9116 0.7447
Se5 0.7479 0.7479 0.2535
Se6 0.9116 0.5815 0.7447



No. 14
Here is Pr3Nd3SmSe8 after structural relaxation from the Alexandria database. Energies are from PBE.

Properties
E = -89.4 eV for the cell shown

Cell lengths 8.4671, 8.4671, 8.4671 Å; angles 59.93, 59.93, 59.93 degrees
Atoms (fractional coordinates):
Pr1 0.0000 0.5000 0.5000
Pr2 0.5000 0.0000 0.5000
Pr3 0.5000 0.5000 0.0000
Nd1 0.0000 0.0000 0.5000
Nd2 0.0000 0.5000 0.0000
Nd3 0.5000 0.0000 0.0000
Sm1 0.5000 0.5000 0.5000
Se1 0.2483 0.7497 0.7497
Se2 0.2491 0.2491 0.2491
Se3 0.2503 0.2503 0.7517
Se4 0.2503 0.7517 0.2503
Se5 0.7497 0.2483 0.7497
Se6 0.7497 0.7497 0.2483
Se7 0.7509 0.7509 0.7509
Se8 0.7517 0.2503 0.2503



No. 15
Here is PrNdSmSe3 after structural relaxation from the Alexandria database. Energies are from PBE.

Properties
E = -70.5 eV for the cell shown

Cell lengths 7.3582, 4.0956, 10.9711 Å; angles 90.00, 102.58, 90.00 degrees
Atoms (fractional coordinates):
Pr1 0.1594 0.2500 0.1994
Pr2 0.8406 0.7500 0.8006
Nd1 0.3786 0.2500 0.8715
Nd2 0.6214 0.7500 0.1285
Sm1 0.2659 0.7500 0.5576
Sm2 0.7341 0.2500 0.4424
Se1 0.0443 0.2500 0.6628
Se2 0.2100 0.7500 0.0046
Se3 0.4439 0.7500 0.3437
Se4 0.5561 0.2500 0.6563
Se5 0.7900 0.2500 0.9954
Se6 0.9557 0.7500 0.3372



No. 16
Here is PrNdSnSe after structural relaxation from the Alexandria database. Energies are from PBE.

Properties
E = -22.3 eV for the cell shown

Cell lengths 4.4094, 4.4094, 6.2480 Å; angles 90.00, 90.00, 90.00 degrees
Atoms (fractional coordinates):
Pr1 0.0000 0.0000 0.0000
Nd1 0.5000 0.5000 0.5000
Sn1 0.0000 0.0000 0.5000
Se1 0.5000 0.5000 0.0000



No. 17
Here is Sr3PrNd2Se6 after structural relaxation from the Alexandria database. Energies are from PBE.

Properties
E = -63.3 eV for the cell shown

Cell lengths 9.7417, 9.7417, 8.7315 Å; angles 104.38, 104.38, 25.47 degrees
Atoms (fractional coordinates):
Sr1 0.0000 0.0000 0.0000
Sr2 0.3337 0.3337 0.6671
Sr3 0.6663 0.6663 0.3329
Pr1 0.0000 0.0000 0.5000
Nd1 0.3340 0.3340 0.1683
Nd2 0.6660 0.6660 0.8317
Se1 0.1657 0.1657 0.5881
Se2 0.1690 0.1690 0.0778
Se3 0.4980 0.4980 0.2524
Se4 0.5020 0.5020 0.7476
Se5 0.8310 0.8310 0.9222
Se6 0.8343 0.8343 0.4119



No. 18
Here is SrPr4NdSe8 after structural relaxation from the Alexandria database. Energies are from PBE.

Properties
E = -78.7 eV for the cell shown

Cell lengths 8.8159, 8.8159, 8.8159 Å; angles 60.10, 60.10, 60.10 degrees
Atoms (fractional coordinates):
Sr1 0.0000 0.0000 0.0000
Pr1 0.1195 0.6266 0.6266
Pr2 0.2496 0.2496 0.2496
Pr3 0.6266 0.1195 0.6266
Pr4 0.6266 0.6266 0.1195
Nd1 0.6267 0.6267 0.6267
Se1 0.3826 0.3826 0.3826
Se2 0.3840 0.3840 0.8503
Se3 0.3840 0.8503 0.3840
Se4 0.4092 0.8624 0.8624
Se5 0.8503 0.3840 0.3840
Se6 0.8624 0.4092 0.8624
Se7 0.8624 0.8624 0.4092
Se8 0.8635 0.8635 0.8635



No. 19
Here is SrPr3Nd4Se8 after structural relaxation from the Alexandria database. Energies are from PBE.

Properties
E = -92.6 eV for the cell shown

Cell lengths 8.5290, 8.5290, 8.5290 Å; angles 60.03, 60.03, 60.03 degrees
Atoms (fractional coordinates):
Sr1 0.0000 0.0000 0.0000
Pr1 0.0000 0.5000 0.5000
Pr2 0.5000 0.0000 0.5000
Pr3 0.5000 0.5000 0.0000
Nd1 0.0000 0.0000 0.5000
Nd2 0.0000 0.5000 0.0000
Nd3 0.5000 0.0000 0.0000
Nd4 0.5000 0.5000 0.5000
Se1 0.2490 0.2490 0.2490
Se2 0.2497 0.7482 0.7483
Se3 0.2517 0.2517 0.7503
Se4 0.2517 0.7503 0.2517
Se5 0.7482 0.2497 0.7482
Se6 0.7482 0.7482 0.2497
Se7 0.7503 0.2517 0.2517
Se8 0.7510 0.7510 0.7510



No. 20
Here is SrPr4Nd3Se8 after structural relaxation from the Alexandria database. Energies are from PBE.

Properties
E = -92.6 eV for the cell shown

Cell lengths 8.5424, 8.5424, 8.5424 Å; angles 59.94, 59.94, 59.94 degrees
Atoms (fractional coordinates):
Sr1 0.0000 0.0000 0.0000
Pr1 0.0000 0.0000 0.5000
Pr2 0.0000 0.5000 0.0000
Pr3 0.5000 0.0000 0.0000
Pr4 0.5000 0.5000 0.5000
Nd1 0.0000 0.5000 0.5000
Nd2 0.5000 0.0000 0.5000
Nd3 0.5000 0.5000 0.0000
Se1 0.2510 0.2510 0.2510
Se2 0.2507 0.2507 0.7472
Se3 0.2507 0.7472 0.2507
Se4 0.2528 0.7493 0.7493
Se5 0.7472 0.2507 0.2507
Se6 0.7493 0.2528 0.7493
Se7 0.7493 0.7493 0.2528
Se8 0.7490 0.7490 0.7490



In order of appearance, energy relative to the elements, uncorrected = -1.841, -0.807, -1.600, -1.828, -1.727, -1.835, -1.727, -1.229, -1.832, -1.826, -1.833, -1.824, -1.841, -1.878, -1.758, -1.306, -1.923, -1.801, -1.852, -1.852 eV per atom.
In order of appearance, N(E_F) = 0.4305, 1.1157, 0.6440, 0.6220, 0.6514, 0.4692, 0.6323, 0.6187, 0.4752, 0.6914, 0.4783, 0.6814, 0.4761, 0.4722, 0.5399, 0.2231, 0.3801, 0.2517, 0.5281, 0.5281 states/eV per atom.